No. 1
This record from Alexandria describes Ti2Ge2Te7 after structural relaxation. The functional is PBE.

Unit cell a=8.0592 b=7.2472 c=7.2472 alpha=117.36 beta=98.91 gamma=98.91
Sites, in units of the cell vectors:
Te: 0.5000 0.0000 0.0000
Te: 0.1807 0.6562 0.6562
Te: 0.8193 0.3438 0.3438
Ti: 0.0000 0.6889 0.3111
Te: 0.7707 0.5085 0.9150
Te: 0.2293 0.4915 0.0850
Ti: 0.0000 0.3111 0.6889
Te: 0.2293 0.0850 0.4915
Ge: 0.6149 0.6801 0.6801
Ge: 0.3851 0.3199 0.3199
Te: 0.7707 0.9150 0.5085

Values from the calculation:
spin magnetization: 0.0 μB/cell
electronic total energy: -49.72 eV/cell
formation energy from raw total energies: -246 meV/atom


No. 2
This record from Alexandria describes TiGe2Te after structural relaxation. The functional is PBE.

Unit cell a=6.1160 b=6.1160 c=7.6034 alpha=66.28 beta=66.28 gamma=90.00
Sites, in units of the cell vectors:
Ge: 0.5891 0.1250 0.2500
Ti: 0.2500 0.7500 0.5000
Te: 0.7500 0.2500 0.5000
Ge: 0.8750 0.8391 0.7500
Ge: 0.1609 0.6250 0.2500
Te: 0.0000 0.0000 0.0000
Ti: 0.5000 0.5000 0.0000
Ge: 0.3750 0.4109 0.7500

Values from the calculation:
spin magnetization: 0.0 μB/cell
electronic total energy: -37.61 eV/cell
formation energy from raw total energies: 367 meV/atom


Q: Which of these has the lowest formation energy from raw total energies?
A: Ti2Ge2Te7


Q: What is the spin magnetization in the second record?
A: 0.0 μB/cell


Q: What is the formula in the second record?
A: TiGe2Te